Entry from Alexandria via LeMat-Bulk: crystalline NdNpBi2 at its relaxed geometry (PBE-GGA).

Output
space group = R-3m, No. 166
energy above the most stable polymorph in this dataset = 452 meV per atom
E_tot = -6.233 eV/atom

Unit cell a=3.4622 b=3.4622 c=36.2531 alpha=90.00 beta=90.00 gamma=120.00
With the nearest neighbours (Å) after each atom.
Fractional coordinates of all 12 atoms:
Nd  0.0000  0.0000  0.0000  2 Bi 3.29, 6 Nd 3.46
Nd  0.3333  0.6667  0.6667  2 Bi 3.29, 6 Nd 3.46
Nd  0.6667  0.3333  0.3333  2 Bi 3.29, 6 Nd 3.46
Np  0.0000  0.0000  0.5000  6 Bi 3.41, 6 Np 3.46
Np  0.3333  0.6667  0.1667  6 Bi 3.41, 6 Np 3.46
Np  0.6667  0.3333  0.8333  6 Bi 3.41, 6 Np 3.46
Bi  0.0000  0.0000  0.0906  1 Nd 3.29, 3 Np 3.41, 6 Bi 3.46
Bi  0.0000  0.0000  0.9094  1 Nd 3.29, 3 Np 3.41, 6 Bi 3.46
Bi  0.3333  0.6667  0.5760  1 Nd 3.29, 3 Np 3.41, 6 Bi 3.46
Bi  0.3333  0.6667  0.7573  1 Nd 3.29, 3 Np 3.41, 6 Bi 3.46
Bi  0.6667  0.3333  0.2427  1 Nd 3.29, 3 Np 3.41, 6 Bi 3.46
Bi  0.6667  0.3333  0.4240  1 Nd 3.29, 3 Np 3.41, 6 Bi 3.46